Below is crystalline LaRe at its relaxed geometry, with properties calculated at the PBE level.

Cell lengths 7.9846, 7.9846, 7.9846 Å; angles 90.00, 90.00, 90.00 degrees
With the nearest neighbours (Å) after each atom.
Atoms (fractional coordinates):
La1 0.0000 0.2500 0.5000  4 Re 2.82
La2 0.0000 0.7500 0.5000  4 Re 2.82
La3 0.2500 0.5000 0.0000  4 Re 2.82
La4 0.5000 0.0000 0.2500  4 Re 2.82
La5 0.5000 0.0000 0.7500  4 Re 2.82
La6 0.7500 0.5000 0.0000  4 Re 2.82
Re1 0.0000 0.5000 0.2500  4 La 2.82
Re2 0.0000 0.5000 0.7500  4 La 2.82
Re3 0.2500 0.0000 0.5000  4 La 2.82
Re4 0.5000 0.2500 0.0000  4 La 2.82
Re5 0.5000 0.7500 0.0000  4 La 2.82
Re6 0.7500 0.0000 0.5000  4 La 2.82

Values from the calculation:
The symmetry is No. 223. The calculation puts the excess energy over the best structure of this formula in the dataset at 1963 meV per atom. Its theoretical density is 6.363 g/cm3. As for the formation energy: 2.114 eV/atom.